Version P
TlSi2As2 | PBE-GGA | optimized geometry

abc: 4.298 4.298 7.208
angles: 72.65 72.65 90.00
Fractional coordinates of all 5 atoms:
Tl: 0.000 0.000 0.000
Si: 0.750 0.250 0.500
Si: 0.250 0.750 0.500
As: 0.355 0.355 0.290
As: 0.645 0.645 0.710

## Properties
**Space-group type**: No. 139

***

Version Q
TlSi2As2 | PBE-GGA | optimized geometry

abc: 4.868 4.868 5.534
angles: 63.91 63.91 90.00
Fractional coordinates of all 5 atoms:
Tl: 0.000 0.000 0.000
Si: 0.356 0.356 0.288
Si: 0.644 0.644 0.712
As: 0.750 0.250 0.500
As: 0.250 0.750 0.500

## Properties
**Space-group type**: No. 139

***

Tell me which of them is the most stable. Sure, it is version Q.